{"formula": "RbH2Se", "functional": "PBE", "state": "optimized geometry", "space_group": "Pm", "e_above_lowest_polymorph_ev_per_fu": 0.34, "rho_g_cm3": 2.9, "lattice": [[4.568, 0.000, -0.026], [0.000, 4.704, 0.000], [-2.250, 0.000, 4.441]], "species": ["Rb", "H", "H", "Se"], "frac_coords": [[0.342, 0.500, 0.801], [0.217, 0.000, 0.349], [0.019, 0.000, 0.349], [0.646, 0.000, 0.406]]}